Entry 1:
AcTb2Nd7 PBE optimized geometry; size of the total moment = 0.00 μB per formula unit; V = 428 Å³/cell; formation enthalpy at 0 K = 0.608 eV per atom; calculated total energy = -4.066 eV/atom
1.0
4.512 -8.100 0.000
4.512 8.100 0.000
0.000 0.000 5.856
Ac Tb Nd
1 2 7
Direct
0.000 0.000 0.000 Ac
0.298 0.702 0.500 Tb
0.702 0.298 0.500 Tb
0.061 0.299 0.500 Nd
0.236 0.764 0.000 Nd
0.299 0.061 0.500 Nd
0.500 0.500 0.500 Nd
0.701 0.939 0.500 Nd
0.764 0.236 0.000 Nd
0.939 0.701 0.500 Nd

=====

Entry 2:
TaTiNO2 PBE optimized geometry; size of the total moment = 1.88 μB per formula unit; V = 63 Å³/cell; formation energy (no corrections) = -7.11 eV per formula unit; calculated total energy = -9.020 eV/atom
1.0
3.929 0.000 0.000
0.000 3.929 0.000
0.000 0.000 4.110
Ta Ti N O
1 1 1 2
Direct
0.000 0.000 0.000 Ta
0.500 0.500 0.500 Ti
0.000 0.000 0.500 N
0.000 0.500 0.000 O
0.500 0.000 0.000 O

=====

Entry 3:
LiAc8Ir2 PBE optimized geometry; size of the total moment = 0.00 μB per formula unit; V = 414 Å³/cell; formation enthalpy at 0 K = -0.192 eV per atom; calculated total energy = -4.965 eV/atom
1.0
4.621 -7.340 0.000
4.621 7.340 0.000
-1.436 0.000 6.109
Li Ac Ir
1 8 2
Direct
0.000 0.000 0.000 Li
0.081 0.342 0.577 Ac
0.249 0.753 0.000 Ac
0.342 0.081 0.577 Ac
0.396 0.396 0.206 Ac
0.604 0.604 0.793 Ac
0.660 0.921 0.424 Ac
0.753 0.249 0.000 Ac
0.921 0.660 0.424 Ac
0.292 0.710 0.500 Ir
0.710 0.292 0.500 Ir

=====

Entry 4:
AgN3O PBE optimized geometry; size of the total moment = 2.00 μB per formula unit; V = 47 Å³/cell; formation energy (no corrections) = 14.12 eV per formula unit; calculated total energy = -3.733 eV/atom
1.0
3.619 0.000 0.000
0.000 3.619 0.000
0.000 0.000 3.619
Ag N O
1 3 1
Direct
0.000 0.000 0.000 Ag
0.000 0.500 0.500 N
0.500 0.000 0.500 N
0.500 0.500 0.000 N
0.500 0.500 0.500 O

=====

Entry 5:
Pm5PuSb6 PBE optimized geometry; size of the total moment = 5.01 μB per formula unit; V = 382 Å³/cell; formation energy (no corrections) = -12.99 eV per formula unit; calculated total energy = -6.317 eV/atom
1.0
3.882 -6.721 0.000
3.882 6.721 0.000
-2.586 0.000 7.320
Pm Pu Sb
5 1 6
Direct
0.000 0.000 0.000 Pm
0.166 0.834 0.500 Pm
0.332 0.668 0.000 Pm
0.668 0.332 0.000 Pm
0.834 0.166 0.500 Pm
0.500 0.500 0.500 Pu
0.088 0.417 0.252 Sb
0.253 0.253 0.748 Sb
0.417 0.088 0.252 Sb
0.583 0.912 0.748 Sb
0.747 0.747 0.252 Sb
0.912 0.583 0.748 Sb

=====

Entry 6:
La3Mg2Pb4 PBE optimized geometry; size of the total moment = 0.00 μB per formula unit; V = 274 Å³/cell; formation enthalpy at 0 K = -0.465 eV per atom; calculated total energy = -4.110 eV/atom
1.0
6.410 -2.392 0.000
6.410 2.392 0.000
-3.825 0.000 8.943
La Mg Pb
3 2 4
Direct
0.000 0.000 0.000 La
0.375 0.375 0.307 La
0.625 0.625 0.693 La
0.308 0.308 0.636 Mg
0.692 0.692 0.364 Mg
0.075 0.075 0.387 Pb
0.298 0.298 0.931 Pb
0.702 0.702 0.069 Pb
0.925 0.925 0.613 Pb

=====

Entry 7:
Ba3CdIn2Ag6 PBE optimized geometry; size of the total moment = 0.00 μB per formula unit; V = 355 Å³/cell; formation enthalpy at 0 K = -0.154 eV per atom; calculated total energy = -2.593 eV/atom
1.0
6.677 0.000 0.000
-3.339 5.783 0.000
0.000 0.000 9.200
Ba Cd In Ag
3 1 2 6
Direct
0.000 0.000 0.000 Ba
0.333 0.667 0.633 Ba
0.667 0.333 0.367 Ba
0.000 0.000 0.500 Cd
0.333 0.667 0.032 In
0.667 0.333 0.968 In
0.186 0.373 0.292 Ag
0.186 0.814 0.292 Ag
0.373 0.186 0.708 Ag
0.627 0.814 0.292 Ag
0.814 0.186 0.708 Ag
0.814 0.627 0.708 Ag

=====

Entry 8:
TbZrSe2O PBE optimized geometry; size of the total moment = 0.00 μB per formula unit; V = 204 Å³/cell; formation energy (no corrections) = -10.72 eV per formula unit; calculated total energy = -7.166 eV/atom
1.0
3.872 0.000 0.000
0.000 3.872 0.000
0.000 0.000 13.620
Tb Zr Se O
2 2 4 2
Direct
0.250 0.250 0.085 Tb
0.750 0.750 0.915 Tb
0.250 0.250 0.597 Zr
0.750 0.750 0.403 Zr
0.250 0.250 0.389 Se
0.250 0.250 0.790 Se
0.750 0.750 0.210 Se
0.750 0.750 0.611 Se
0.250 0.750 0.000 O
0.750 0.250 0.000 O

=====

Entry 9:
UTc3Sn5 PBE optimized geometry; size of the total moment = 0.00 μB per formula unit; V = 423 Å³/cell; formation enthalpy at 0 K = 0.059 eV per atom; calculated total energy = -6.874 eV/atom
1.0
4.733 -4.973 0.000
4.733 4.973 0.000
-3.535 0.000 8.997
U Tc Sn
2 6 10
Direct
0.242 0.242 0.255 U
0.758 0.758 0.745 U
0.000 0.000 0.000 Tc
0.023 0.023 0.322 Tc
0.499 0.499 0.173 Tc
0.500 0.500 0.500 Tc
0.501 0.501 0.827 Tc
0.977 0.977 0.678 Tc
0.237 0.237 0.592 Sn
0.246 0.246 0.920 Sn
0.268 0.730 0.333 Sn
0.270 0.732 0.667 Sn
0.271 0.729 0.000 Sn
0.729 0.271 0.000 Sn
0.730 0.268 0.333 Sn
0.732 0.270 0.667 Sn
0.754 0.754 0.080 Sn
0.763 0.763 0.408 Sn

=====

Entry 10:
Ce5PuNi PBE optimized geometry; size of the total moment = 0.00 μB per formula unit; V = 345 Å³/cell; formation enthalpy at 0 K = 0.009 eV per atom; calculated total energy = -7.102 eV/atom
1.0
4.829 -3.686 0.000
4.829 3.686 0.000
-4.472 0.000 9.683
Ce Pu Ni
10 2 2
Direct
0.039 0.961 0.750 Ce
0.120 0.390 0.119 Ce
0.200 0.586 0.452 Ce
0.390 0.120 0.619 Ce
0.414 0.800 0.048 Ce
0.586 0.200 0.952 Ce
0.610 0.880 0.381 Ce
0.800 0.414 0.548 Ce
0.880 0.610 0.881 Ce
0.961 0.039 0.250 Ce
0.000 0.000 0.000 Pu
0.000 0.000 0.500 Pu
0.419 0.581 0.750 Ni
0.581 0.419 0.250 Ni

=====

Entry 11:
TlSi2Tc PBE optimized geometry; size of the total moment = 0.00 μB per formula unit; V = 135 Å³/cell; formation energy (no corrections) = 2.66 eV per formula unit; calculated total energy = -5.229 eV/atom
1.0
5.538 0.000 0.000
0.000 7.430 0.000
-0.050 0.000 3.280
Tl Si Tc
2 4 2
Direct
0.000 0.000 0.000 Tl
0.500 0.500 0.000 Tl
0.250 0.250 0.500 Si
0.250 0.750 0.500 Si
0.750 0.250 0.500 Si
0.750 0.750 0.500 Si
0.000 0.500 0.000 Tc
0.500 0.000 0.000 Tc

=====

Entry 12:
CaLa2ReC PBE optimized geometry; size of the total moment = 0.01 μB per formula unit; V = 121 Å³/cell; formation enthalpy at 0 K = 0.070 eV per atom; calculated total energy = -6.636 eV/atom
1.0
5.440 0.000 0.000
0.000 5.440 0.000
0.000 0.000 4.079
Ca La Re C
1 2 1 1
Direct
0.000 0.000 0.000 Ca
0.000 0.500 0.500 La
0.500 0.000 0.500 La
0.500 0.500 0.000 Re
0.500 0.500 0.500 C

=====

Entry 13:
Sm2HgPb9 PBE optimized geometry; size of the total moment = 0.00 μB per formula unit; V = 359 Å³/cell; formation enthalpy at 0 K = -0.216 eV per atom; calculated total energy = -3.809 eV/atom
1.0
4.776 0.000 0.000
0.000 4.776 0.000
0.000 0.000 15.728
Sm Hg Pb
2 1 9
Direct
0.000 0.000 0.151 Sm
0.000 0.000 0.849 Sm
0.000 0.000 0.500 Hg
0.000 0.500 0.000 Pb
0.000 0.500 0.330 Pb
0.000 0.500 0.670 Pb
0.500 0.000 0.000 Pb
0.500 0.000 0.330 Pb
0.500 0.000 0.670 Pb
0.500 0.500 0.170 Pb
0.500 0.500 0.500 Pb
0.500 0.500 0.830 Pb

=====

Entry 14:
BTe2IN PBE optimized geometry; size of the total moment = 0.00 μB per formula unit; V = 142 Å³/cell; formation energy (no corrections) = 10.27 eV per formula unit; calculated total energy = -2.514 eV/atom
1.0
6.053 0.000 0.000
0.000 6.053 0.000
0.000 0.000 3.876
B Te I N
1 2 1 1
Direct
0.000 0.000 0.000 B
0.000 0.500 0.500 Te
0.500 0.000 0.500 Te
0.500 0.500 0.500 I
0.500 0.500 0.000 N

=====

Entry 15:
Ca2GaRe PBE optimized geometry; size of the total moment = 1.01 μB per formula unit; V = 357 Å³/cell; formation enthalpy at 0 K = 0.902 eV per atom; calculated total energy = -3.968 eV/atom
1.0
4.146 0.000 0.000
0.000 4.146 0.000
0.000 0.000 20.772
Ca Ga Re
8 4 4
Direct
0.246 0.250 0.125 Ca
0.250 0.746 0.375 Ca
0.250 0.754 0.875 Ca
0.254 0.250 0.625 Ca
0.746 0.750 0.625 Ca
0.750 0.246 0.875 Ca
0.750 0.254 0.375 Ca
0.754 0.750 0.125 Ca
0.000 0.000 0.500 Ga
0.000 0.500 0.750 Ga
0.500 0.000 0.250 Ga
0.500 0.500 0.000 Ga
0.000 0.000 0.000 Re
0.000 0.500 0.250 Re
0.500 0.000 0.750 Re
0.500 0.500 0.500 Re

=====

Entry 16:
Sr2Hg5Pd3 PBE optimized geometry; size of the total moment = 0.00 μB per formula unit; V = 481 Å³/cell; formation enthalpy at 0 K = -0.421 eV per atom; calculated total energy = -2.466 eV/atom
1.0
2.335 -13.433 0.000
2.335 13.433 0.000
0.000 0.000 7.668
Sr Hg Pd
4 10 6
Direct
0.024 0.976 0.500 Sr
0.324 0.676 0.439 Sr
0.676 0.324 0.939 Sr
0.976 0.024 0.000 Sr
0.101 0.899 0.133 Hg
0.206 0.794 0.634 Hg
0.208 0.792 0.236 Hg
0.377 0.623 0.990 Hg
0.449 0.551 0.328 Hg
0.551 0.449 0.828 Hg
0.623 0.377 0.490 Hg
0.792 0.208 0.736 Hg
0.794 0.206 0.134 Hg
0.899 0.101 0.633 Hg
0.109 0.891 0.759 Pd
0.269 0.731 0.933 Pd
0.452 0.548 0.713 Pd
0.548 0.452 0.213 Pd
0.731 0.269 0.433 Pd
0.891 0.109 0.259 Pd

=====

Entry 17:
ErTm6Pb2 PBE optimized geometry; size of the total moment = 0.00 μB per formula unit; V = 519 Å³/cell; formation enthalpy at 0 K = -0.162 eV per atom; calculated total energy = -4.475 eV/atom
1.0
7.708 -5.695 0.000
7.708 5.695 0.000
-0.834 0.000 5.916
Er Tm Pb
2 12 4
Direct
0.114 0.886 0.750 Er
0.886 0.114 0.250 Er
0.014 0.746 0.195 Tm
0.101 0.358 0.342 Tm
0.254 0.986 0.305 Tm
0.323 0.560 0.477 Tm
0.358 0.101 0.842 Tm
0.440 0.677 0.023 Tm
0.560 0.323 0.977 Tm
0.642 0.899 0.158 Tm
0.677 0.440 0.523 Tm
0.746 0.014 0.695 Tm
0.899 0.642 0.658 Tm
0.986 0.254 0.805 Tm
0.215 0.473 0.914 Pb
0.473 0.215 0.414 Pb
0.527 0.785 0.586 Pb
0.785 0.527 0.086 Pb

=====

Entry 18:
La6AgRh4 PBE optimized geometry; size of the total moment = 0.00 μB per formula unit; V = 619 Å³/cell; formation enthalpy at 0 K = -0.612 eV per atom; calculated total energy = -6.232 eV/atom
1.0
2.109 -6.928 0.000
2.109 6.928 0.000
0.000 0.000 21.190
La Ag Rh
12 2 8
Direct
0.000 0.000 0.000 La
0.000 0.000 0.500 La
0.165 0.835 0.750 La
0.268 0.732 0.085 La
0.268 0.732 0.415 La
0.461 0.539 0.656 La
0.461 0.539 0.844 La
0.539 0.461 0.156 La
0.539 0.461 0.344 La
0.732 0.268 0.585 La
0.732 0.268 0.915 La
0.835 0.165 0.250 La
0.156 0.844 0.250 Ag
0.844 0.156 0.750 Ag
0.100 0.900 0.630 Rh
0.100 0.900 0.870 Rh
0.363 0.637 0.544 Rh
0.363 0.637 0.956 Rh
0.637 0.363 0.044 Rh
0.637 0.363 0.456 Rh
0.900 0.100 0.130 Rh
0.900 0.100 0.370 Rh

=====

Entry 19:
AgSb6Os PBE optimized geometry; size of the total moment = 0.00 μB per formula unit; V = 442 Å³/cell; formation energy (no corrections) = 0.33 eV per formula unit; calculated total energy = -4.811 eV/atom
1.0
6.751 -4.746 0.000
6.751 4.746 0.000
-6.683 0.000 6.900
Ag Sb Os
2 12 2
Direct
0.000 0.500 0.000 Ag
0.500 0.000 0.000 Ag
0.144 0.835 0.644 Sb
0.165 0.856 0.356 Sb
0.193 0.506 0.837 Sb
0.329 0.329 0.480 Sb
0.363 0.363 0.211 Sb
0.494 0.807 0.163 Sb
0.506 0.193 0.837 Sb
0.637 0.637 0.789 Sb
0.671 0.671 0.520 Sb
0.807 0.494 0.163 Sb
0.835 0.144 0.644 Sb
0.856 0.165 0.356 Sb
0.000 0.500 0.500 Os
0.500 0.000 0.500 Os

=====

Entry 20:
Dy8Sb3Te4P PBE optimized geometry; size of the total moment = 0.00 μB per formula unit; V = 460 Å³/cell; formation energy (no corrections) = -21.02 eV per formula unit; calculated total energy = -5.512 eV/atom
1.0
4.321 2.495 7.114
-4.321 2.495 7.114
0.000 -4.989 7.114
Dy Sb Te P
8 3 4 1
Direct
0.246 0.246 0.246 Dy
0.262 0.732 0.732 Dy
0.268 0.268 0.738 Dy
0.268 0.738 0.268 Dy
0.732 0.262 0.732 Dy
0.732 0.732 0.262 Dy
0.738 0.268 0.268 Dy
0.754 0.754 0.754 Dy
0.000 0.000 0.500 Sb
0.000 0.500 0.000 Sb
0.500 0.000 0.000 Sb
0.000 0.000 0.000 Te
0.000 0.500 0.500 Te
0.500 0.000 0.500 Te
0.500 0.500 0.000 Te
0.500 0.500 0.500 P

=====

Entry 21:
Be2AsCl PBE optimized geometry; size of the total moment = 0.00 μB per formula unit; V = 175 Å³/cell; formation energy (no corrections) = 0.97 eV per formula unit; calculated total energy = -3.246 eV/atom
1.0
3.353 0.000 0.000
0.000 6.520 0.000
0.000 0.000 7.996
Be As Cl
4 2 2
Direct
0.000 0.209 0.000 Be
0.000 0.791 0.000 Be
0.500 0.291 0.500 Be
0.500 0.709 0.500 Be
0.000 0.500 0.500 As
0.500 0.000 0.000 As
0.000 0.000 0.500 Cl
0.500 0.500 0.000 Cl